Record 1
VASP calculation (PBE-GGA) on a relaxed NpGeHRh2 crystal.

Cell lengths 5.821, 5.821, 6.949 Å; angles 90.00, 90.00, 140.10 degrees
Element x y z (fractional)
Np  0.074  0.926  0.750
Np  0.926  0.074  0.250
Ge  0.205  0.795  0.250
Ge  0.795  0.205  0.750
H  0.500  0.500  0.000
H  0.500  0.500  0.500
Rh  0.343  0.657  0.541
Rh  0.343  0.657  0.959
Rh  0.657  0.343  0.041
Rh  0.657  0.343  0.459

Values from the calculation:
* space group: Cmcm
* DOS at the Fermi energy: 2.28 states/eV per atom
* magnetic moment: 0.6905 μB/atom
* E_tot: -75.3 eV/cell


Record 2
VASP calculation (PBE-GGA) on a relaxed NpTcGeH2 crystal.

Cell lengths 5.595, 5.595, 5.901 Å; angles 90.00, 90.00, 138.72 degrees
Element x y z (fractional)
Np  0.200  0.800  0.750
Np  0.800  0.200  0.250
Tc  0.500  0.500  0.000
Tc  0.500  0.500  0.500
Ge  0.085  0.915  0.250
Ge  0.915  0.085  0.750
H  0.331  0.669  0.062
H  0.331  0.669  0.438
H  0.669  0.331  0.562
H  0.669  0.331  0.938

Values from the calculation:
* space group: Cmcm
* DOS at the Fermi energy: 1.63 states/eV per atom
* magnetic moment: 0.6404 μB/atom
* E_tot: -72.1 eV/cell


Record 3
VASP calculation (PBE-GGA) on a relaxed GeH2O crystal.

Cell lengths 3.570, 3.570, 3.570 Å; angles 60.00, 60.00, 60.00 degrees
Element x y z (fractional)
Ge  0.000  0.000  0.000
H  0.250  0.250  0.250
H  0.750  0.750  0.750
O  0.500  0.500  0.500

Values from the calculation:
* polymorph energy (0 for the lowest one): 2.37 eV/f.u.
* space group: Fm-3m
* DOS at the Fermi energy: 0.24 states/eV per atom
* magnetic moment: 0.0000 μB/atom
* E_tot: -13.5 eV/cell


Record 4
VASP calculation (PBE-GGA) on a relaxed GeH3O crystal.

Cell lengths 3.332, 3.332, 3.332 Å; angles 90.00, 90.00, 90.00 degrees
Element x y z (fractional)
Ge  0.000  0.000  0.000
H  0.000  0.500  0.500
H  0.500  0.000  0.500
H  0.500  0.500  0.000
O  0.500  0.500  0.500

Values from the calculation:
* polymorph energy (0 for the lowest one): 0.94 eV/f.u.
* space group: Pm-3m
* DOS at the Fermi energy: 0.53 states/eV per atom
* magnetic moment: 0.0000 μB/atom
* E_tot: -15.2 eV/cell


Record 5
VASP calculation (PBE-GGA) on a relaxed GeH2O crystal.

Cell lengths 7.524, 7.524, 7.524 Å; angles 156.75, 156.75, 33.11 degrees
Element x y z (fractional)
Ge  0.375  0.625  0.750
Ge  0.625  0.375  0.250
H  0.000  0.500  0.500
H  0.500  0.000  0.000
H  0.500  0.500  0.000
H  0.500  0.500  0.500
O  0.125  0.875  0.250
O  0.875  0.125  0.750

Values from the calculation:
* polymorph energy (0 for the lowest one): 0.00 eV/f.u.
* space group: I4_1/amd
* DOS at the Fermi energy: 0.10 states/eV per atom
* magnetic moment: 0.0000 μB/atom
* E_tot: -31.7 eV/cell


Record 6
VASP calculation (PBE-GGA) on a relaxed GeH3O crystal.

Cell lengths 3.457, 3.457, 3.457 Å; angles 90.00, 90.00, 90.00 degrees
Element x y z (fractional)
Ge  0.000  0.000  0.000
H  0.000  0.000  0.500
H  0.000  0.500  0.000
H  0.500  0.000  0.000
O  0.500  0.500  0.500

Values from the calculation:
* polymorph energy (0 for the lowest one): 0.00 eV/f.u.
* space group: Pm-3m
* DOS at the Fermi energy: 0.51 states/eV per atom
* magnetic moment: 0.2635 μB/atom
* E_tot: -16.2 eV/cell


Record 7
VASP calculation (PBE-GGA) on a relaxed GeHO3 crystal.

Cell lengths 3.672, 3.672, 3.672 Å; angles 90.00, 90.00, 90.00 degrees
Element x y z (fractional)
Ge  0.000  0.000  0.000
H  0.500  0.500  0.500
O  0.000  0.000  0.500
O  0.000  0.500  0.000
O  0.500  0.000  0.000

Values from the calculation:
* space group: Pm-3m
* DOS at the Fermi energy: 0.45 states/eV per atom
* magnetic moment: 0.2000 μB/atom
* E_tot: -22.7 eV/cell


Record 8
VASP calculation (PBE-GGA) on a relaxed GeHO3 crystal.

Cell lengths 3.763, 3.763, 3.763 Å; angles 84.89, 84.89, 84.89 degrees
Element x y z (fractional)
Ge  0.000  0.000  0.000
H  0.713  0.713  0.713
O  0.487  0.938  0.938
O  0.938  0.487  0.938
O  0.938  0.938  0.487

Values from the calculation:
* space group: R3m
* DOS at the Fermi energy: 0.38 states/eV per atom
* magnetic moment: 0.1999 μB/atom
* E_tot: -25.8 eV/cell


Record 9
VASP calculation (PBE-GGA) on a relaxed GePHO2 crystal.

Cell lengths 3.535, 3.535, 5.391 Å; angles 90.00, 90.00, 90.00 degrees
Element x y z (fractional)
Ge  0.000  0.000  0.000
P  0.000  0.000  0.500
H  0.500  0.500  0.500
O  0.000  0.500  0.000
O  0.500  0.000  0.000

Values from the calculation:
* polymorph energy (0 for the lowest one): 0.00 eV/f.u.
* space group: P4/mmm
* DOS at the Fermi energy: 0.59 states/eV per atom
* magnetic moment: 0.0555 μB/atom
* E_tot: -22.3 eV/cell


Record 10
VASP calculation (PBE-GGA) on a relaxed Ge2PHO crystal.

Cell lengths 5.147, 5.147, 2.561 Å; angles 90.00, 90.00, 90.00 degrees
Element x y z (fractional)
Ge  0.000  0.500  0.000
Ge  0.500  0.000  0.000
P  0.000  0.000  0.500
H  0.500  0.500  0.000
O  0.500  0.500  0.500

Values from the calculation:
* space group: P4/mmm
* DOS at the Fermi energy: 0.23 states/eV per atom
* magnetic moment: 0.0000 μB/atom
* E_tot: -22.3 eV/cell


Record 11
VASP calculation (PBE-GGA) on a relaxed GePHO2 crystal.

Cell lengths 4.145, 4.145, 2.991 Å; angles 90.00, 90.00, 90.00 degrees
Element x y z (fractional)
Ge  0.000  0.000  0.000
P  0.500  0.500  0.000
H  0.500  0.500  0.500
O  0.000  0.500  0.500
O  0.500  0.000  0.500

Values from the calculation:
* polymorph energy (0 for the lowest one): 0.89 eV/f.u.
* space group: P4/mmm
* DOS at the Fermi energy: 0.08 states/eV per atom
* magnetic moment: 0.0000 μB/atom
* E_tot: -21.4 eV/cell


Record 12
VASP calculation (PBE-GGA) on a relaxed PaGeH2O6 crystal.

Cell lengths 5.342, 5.369, 5.588 Å; angles 61.72, 65.41, 64.40 degrees
Element x y z (fractional)
Pa  0.000  0.000  0.000
Ge  0.500  0.500  0.500
H  0.419  0.233  0.299
H  0.580  0.772  0.697
O  0.206  0.332  0.764
O  0.237  0.800  0.296
O  0.402  0.739  0.723
O  0.598  0.260  0.277
O  0.763  0.199  0.704
O  0.795  0.668  0.237

Values from the calculation:
* space group: P1
* DOS at the Fermi energy: 0.33 states/eV per atom
* magnetic moment: 0.0505 μB/atom
* E_tot: -69.3 eV/cell